# Ba4Be5 | the Alexandria database | SCAN | single point on PBEsol structure
# crystal system = tetragonal
# energy relative to the elements = 41.4 kJ per mole of atoms
# space group = I4/mmm (139)
data_Ba4Be5
_symmetry_space_group_name_H-M 'P 1'
_symmetry_Int_Tables_number 1
_cell_length_a 8.9066
_cell_length_b 8.9066
_cell_length_c 8.9066
_cell_angle_alpha 92.76
_cell_angle_beta 92.76
_cell_angle_gamma 154.64
loop_
_symmetry_equiv_pos_as_xyz
'x,y,z'
loop_
_atom_site_label
_atom_site_type_symbol
_atom_site_fract_x
_atom_site_fract_y
_atom_site_fract_z
Ba1 Ba 0.0000 0.2703 0.2703
Ba2 Ba 0.0000 0.7297 0.7297
Ba3 Ba 0.2703 0.0000 0.2703
Ba4 Ba 0.7297 0.0000 0.7297
Be1 Be 0.0000 0.0000 0.0000
Be2 Be 0.4179 0.4179 0.8357
Be3 Be 0.4179 0.5821 0.0000
Be4 Be 0.5821 0.4179 0.0000
Be5 Be 0.5821 0.5821 0.1643

# WCl2O | the Alexandria database | SCAN | single point on PBEsol structure
# formation energy without anion corrections = 0.690 eV/atom
# crystal system = cubic
# space group = Fm-3m (225)
data_WCl2O
_symmetry_space_group_name_H-M 'P 1'
_symmetry_Int_Tables_number 1
_cell_length_a 5.8551
_cell_length_b 5.8551
_cell_length_c 5.8551
_cell_angle_alpha 90.00
_cell_angle_beta 90.00
_cell_angle_gamma 90.00
loop_
_symmetry_equiv_pos_as_xyz
'x,y,z'
loop_
_atom_site_label
_atom_site_type_symbol
_atom_site_fract_x
_atom_site_fract_y
_atom_site_fract_z
W1 W 0.0000 0.0000 0.0000
W2 W 0.0000 0.5000 0.5000
W3 W 0.5000 0.0000 0.5000
W4 W 0.5000 0.5000 0.0000
Cl1 Cl 0.2500 0.2500 0.2500
Cl2 Cl 0.2500 0.2500 0.7500
Cl3 Cl 0.2500 0.7500 0.2500
Cl4 Cl 0.2500 0.7500 0.7500
Cl5 Cl 0.7500 0.2500 0.2500
Cl6 Cl 0.7500 0.2500 0.7500
Cl7 Cl 0.7500 0.7500 0.2500
Cl8 Cl 0.7500 0.7500 0.7500
O1 O 0.0000 0.0000 0.5000
O2 O 0.0000 0.5000 0.0000
O3 O 0.5000 0.0000 0.0000
O4 O 0.5000 0.5000 0.5000

# SrSc2Ta | the Alexandria database | SCAN | single point on PBEsol structure
# relative energy among the computed polymorphs = 0 meV per atom
# crystal system = orthorhombic
# energy relative to the elements = 61.6 kJ per mole of atoms
# space group = Immm (71)
data_SrSc2Ta
_symmetry_space_group_name_H-M 'P 1'
_symmetry_Int_Tables_number 1
_cell_length_a 3.1678
_cell_length_b 5.9143
_cell_length_c 10.9978
_cell_angle_alpha 90.00
_cell_angle_beta 90.00
_cell_angle_gamma 90.00
loop_
_symmetry_equiv_pos_as_xyz
'x,y,z'
loop_
_atom_site_label
_atom_site_type_symbol
_atom_site_fract_x
_atom_site_fract_y
_atom_site_fract_z
Sr1 Sr 0.0000 0.0000 0.0000
Sr2 Sr 0.5000 0.5000 0.5000
Sc1 Sc 0.0000 0.5000 0.2140
Sc2 Sc 0.0000 0.5000 0.7860
Sc3 Sc 0.5000 0.0000 0.2860
Sc4 Sc 0.5000 0.0000 0.7140
Ta1 Ta 0.0000 0.0000 0.5000
Ta2 Ta 0.5000 0.5000 0.0000

# Zr3TaNi | the Alexandria database | SCAN | single point on PBEsol structure
# crystal system = cubic
# energy relative to the elements = 47.9 kJ per mole of atoms
# space group = Pm-3m (221)
data_Zr3TaNi
_symmetry_space_group_name_H-M 'P 1'
_symmetry_Int_Tables_number 1
_cell_length_a 4.7394
_cell_length_b 4.7394
_cell_length_c 4.7394
_cell_angle_alpha 90.00
_cell_angle_beta 90.00
_cell_angle_gamma 90.00
loop_
_symmetry_equiv_pos_as_xyz
'x,y,z'
loop_
_atom_site_label
_atom_site_type_symbol
_atom_site_fract_x
_atom_site_fract_y
_atom_site_fract_z
Zr1 Zr 0.0000 0.0000 0.5000
Zr2 Zr 0.0000 0.5000 0.0000
Zr3 Zr 0.5000 0.0000 0.0000
Ta1 Ta 0.5000 0.5000 0.5000
Ni1 Ni 0.0000 0.0000 0.0000

# HgBrO2 | the Alexandria database | SCAN | single point on PBEsol structure
# formation energy without anion corrections = -0.016 eV/atom
# crystal system = trigonal
# space group = R-3m (166)
data_HgBrO2
_symmetry_space_group_name_H-M 'P 1'
_symmetry_Int_Tables_number 1
_cell_length_a 3.5404
_cell_length_b 3.5404
_cell_length_c 18.4441
_cell_angle_alpha 90.00
_cell_angle_beta 90.00
_cell_angle_gamma 120.00
loop_
_symmetry_equiv_pos_as_xyz
'x,y,z'
loop_
_atom_site_label
_atom_site_type_symbol
_atom_site_fract_x
_atom_site_fract_y
_atom_site_fract_z
Hg1 Hg 0.0000 0.0000 0.0000
Hg2 Hg 0.3333 0.6667 0.6667
Hg3 Hg 0.6667 0.3333 0.3333
Br1 Br 0.0000 0.0000 0.5000
Br2 Br 0.3333 0.6667 0.1667
Br3 Br 0.6667 0.3333 0.8333
O1 O 0.0000 0.0000 0.3931
O2 O 0.0000 0.0000 0.6069
O3 O 0.3333 0.6667 0.0598
O4 O 0.3333 0.6667 0.2735
O5 O 0.6667 0.3333 0.7265
O6 O 0.6667 0.3333 0.9402

# CrTe2Br2 | the Alexandria database | SCAN | single point on PBEsol structure
# formation energy without anion corrections = 0.771 eV/atom
# crystal system = tetragonal
# space group = P4/mmm (123)
data_CrTe2Br2
_symmetry_space_group_name_H-M 'P 1'
_symmetry_Int_Tables_number 1
_cell_length_a 5.5414
_cell_length_b 5.5414
_cell_length_c 5.1555
_cell_angle_alpha 90.00
_cell_angle_beta 90.00
_cell_angle_gamma 90.00
loop_
_symmetry_equiv_pos_as_xyz
'x,y,z'
loop_
_atom_site_label
_atom_site_type_symbol
_atom_site_fract_x
_atom_site_fract_y
_atom_site_fract_z
Cr1 Cr 0.0000 0.0000 0.0000
Te1 Te 0.0000 0.5000 0.5000
Te2 Te 0.5000 0.0000 0.5000
Br1 Br 0.5000 0.5000 0.0000
Br2 Br 0.5000 0.5000 0.5000

# La2CoOs | the Alexandria database | SCAN | single point on PBEsol structure
# crystal system = orthorhombic
# energy relative to the elements = -7.3 kJ per mole of atoms
# space group = Amm2 (38)
data_La2CoOs
_symmetry_space_group_name_H-M 'P 1'
_symmetry_Int_Tables_number 1
_cell_length_a 4.2072
_cell_length_b 4.3201
_cell_length_c 10.2717
_cell_angle_alpha 90.00
_cell_angle_beta 90.00
_cell_angle_gamma 90.00
loop_
_symmetry_equiv_pos_as_xyz
'x,y,z'
loop_
_atom_site_label
_atom_site_type_symbol
_atom_site_fract_x
_atom_site_fract_y
_atom_site_fract_z
La1 La 0.0000 0.0000 0.0000
La2 La 0.0000 0.5000 0.5000
La3 La 0.5000 0.0000 0.2943
La4 La 0.5000 0.5000 0.7943
Co1 Co 0.5000 0.0000 0.5961
Co2 Co 0.5000 0.5000 0.0961
Os1 Os 0.0000 0.0000 0.6931
Os2 Os 0.0000 0.5000 0.1931

# BaLa2W | the Alexandria database | SCAN | single point on PBEsol structure
# relative energy among the computed polymorphs = 0 meV per atom
# crystal system = tetragonal
# energy relative to the elements = 75.1 kJ per mole of atoms
# space group = P4mm (99)
data_BaLa2W
_symmetry_space_group_name_H-M 'P 1'
_symmetry_Int_Tables_number 1
_cell_length_a 3.8891
_cell_length_b 3.8891
_cell_length_c 8.4971
_cell_angle_alpha 90.00
_cell_angle_beta 90.00
_cell_angle_gamma 90.00
loop_
_symmetry_equiv_pos_as_xyz
'x,y,z'
loop_
_atom_site_label
_atom_site_type_symbol
_atom_site_fract_x
_atom_site_fract_y
_atom_site_fract_z
Ba1 Ba 0.0000 0.0000 0.0000
La1 La 0.0000 0.0000 0.6010
La2 La 0.5000 0.5000 0.3788
W1 W 0.5000 0.5000 0.7425